Version A
Below is a geometry-optimized NaEuPt structure, with properties calculated at the PBE-GGA level.

Cell lengths 4.9304, 4.9304, 4.9304 Å; angles 60.00, 60.00, 60.00 degrees
Atoms (fractional coordinates):
Eu 0.5000 0.5000 0.5000
Na 0.0000 0.0000 0.0000
Pt 0.2500 0.2500 0.2500

Calculated values
Its crystal system is cubic.

---

Version B
Below is a geometry-optimized NaEuPt structure, with properties calculated at the PBE-GGA level.

Cell lengths 3.7352, 4.7817, 4.7817 Å; angles 120.00, 90.00, 90.00 degrees
Atoms (fractional coordinates):
Eu 0.6773 0.3333 0.6667
Na 0.2175 0.6667 0.3333
Pt 0.1052 0.0000 0.0000

Calculated values
Its crystal system is trigonal.

---

Decreasing stability: version A, version B